B3SbBr: optimized geometry, PBE-GGA.

Geometry as POSCAR:
```
B3SbBr
1.0
4.627 0.000 0.000
0.000 4.627 0.000
0.000 0.000 4.627
B Br Sb
3 1 1
Direct
0.000 0.000 0.500 B
0.000 0.500 0.000 B
0.500 0.000 0.000 B
0.500 0.500 0.500 Br
0.000 0.000 0.000 Sb
```

Summary:
E: -3.120 eV/atom
formation energy from raw total energies: 197 kJ/mol of atoms
calculated density: 3.923 g/cm3

Y2HoCd3: optimized geometry, PBE-GGA.

Geometry as POSCAR:
```
Y2HoCd3
1.0
5.287 0.000 0.000
-2.643 4.579 0.000
0.000 0.000 6.495
Cd Y Ho
3 2 1
Direct
0.000 0.000 0.500 Cd
0.667 0.333 0.834 Cd
0.333 0.667 0.166 Cd
0.333 0.667 0.668 Y
0.667 0.333 0.332 Y
0.000 0.000 0.000 Ho
```

Summary:
E: -3.719 eV/atom
calculated formation energy: -7.92 kcal/mol of atoms
calculated density: 7.181 g/cm3

ScIrRh2: optimized geometry, PBE-GGA.

Geometry as POSCAR:
```
ScIrRh2
1.0
3.856 0.000 0.000
0.000 3.856 0.000
1.928 1.928 9.072
Sc Rh Ir
2 4 2
Direct
0.500 0.500 0.000 Sc
0.250 0.750 0.500 Sc
0.106 0.625 0.250 Rh
0.644 0.125 0.250 Rh
0.375 0.356 0.750 Rh
0.875 0.894 0.750 Rh
0.000 0.000 0.000 Ir
0.750 0.250 0.500 Ir
```

Summary:
E: -7.623 eV/atom
calculated formation energy: -3.45 kcal/mol of atoms
calculated density: 10.908 g/cm3

Bi2Pd2O7: optimized geometry, PBE-GGA.

Geometry as POSCAR:
```
Bi2Pd2O7
1.0
6.436 0.000 3.716
2.145 6.068 3.716
0.000 0.000 7.431
Bi O Pd
4 14 4
Direct
0.125 0.625 0.625 Bi
0.625 0.625 0.125 Bi
0.625 0.625 0.625 Bi
0.625 0.125 0.625 Bi
0.042 0.458 0.458 O
0.208 0.792 0.208 O
0.208 0.792 0.792 O
0.208 0.208 0.792 O
0.458 0.042 0.458 O
0.792 0.208 0.792 O
0.042 0.458 0.042 O
0.458 0.042 0.042 O
0.792 0.792 0.208 O
0.792 0.208 0.208 O
0.458 0.458 0.042 O
0.500 0.500 0.500 O
0.042 0.042 0.458 O
0.750 0.750 0.750 O
0.625 0.125 0.125 Pd
0.125 0.125 0.125 Pd
0.125 0.625 0.125 Pd
0.125 0.125 0.625 Pd
```

Summary:
E: -5.590 eV/atom
formation energy from raw total energies: -76 kJ/mol of atoms
calculated density: 8.501 g/cm3

BaSr2Br: optimized geometry, PBE-GGA.

Geometry as POSCAR:
```
BaSr2Br
1.0
-2.692 -6.441 -2.946
0.709 -5.484 -5.180
3.116 -6.422 1.993
Sr Ba Br
2 1 1
Direct
0.939 0.939 0.004 Sr
0.742 0.742 0.733 Sr
0.555 0.555 0.394 Ba
0.264 0.264 0.370 Br
```

Summary:
E: -2.395 eV/atom
formation energy from raw total energies: -63 kJ/mol of atoms
calculated density: 3.341 g/cm3

AcPuZnIr: optimized geometry, PBE-GGA.

Geometry as POSCAR:
```
AcPuZnIr
1.0
5.156 0.000 0.000
2.578 4.465 0.000
2.578 1.488 4.210
Ir Zn Ac Pu
1 1 1 1
Direct
0.500 0.500 0.500 Ir
0.000 0.000 0.000 Zn
0.750 0.750 0.750 Ac
0.250 0.250 0.250 Pu
```

Summary:
E: -7.387 eV/atom
calculated formation energy: -5.60 kcal/mol of atoms
calculated density: 12.483 g/cm3

ScSnHRu2: optimized geometry, PBE-GGA.

Geometry as POSCAR:
```
ScSnHRu2
1.0
-1.017 2.637 3.131
-3.800 -1.810 0.290
1.391 -2.509 2.565
Ru Sn H Sc
2 1 1 1
Direct
0.000 0.500 0.000 Ru
0.500 0.000 0.000 Ru
0.500 0.500 0.500 Sn
0.000 0.000 0.000 H
0.000 0.000 0.500 Sc
```

Summary:
E: -6.807 eV/atom
calculated density: 8.894 g/cm3

Ag2BiBr6: optimized geometry, PBE-GGA.

Geometry as POSCAR:
```
Ag2BiBr6
1.0
4.999 0.000 0.000
2.499 6.787 0.398
2.499 3.354 9.304
Br Ag Bi
6 2 1
Direct
0.362 0.700 0.576 Br
0.638 0.300 0.424 Br
0.020 0.175 0.785 Br
0.298 0.326 0.078 Br
0.980 0.825 0.215 Br
0.702 0.674 0.922 Br
0.195 0.750 0.861 Ag
0.805 0.250 0.139 Ag
0.000 0.500 0.500 Bi
```

Summary:
E: -2.577 eV/atom
formation energy from raw total energies: -38 kJ/mol of atoms
calculated density: 4.859 g/cm3

PmY2Tc9: optimized geometry, PBE-GGA.

Geometry as POSCAR:
```
PmY2Tc9
1.0
-2.483 -4.294 2.115
1.232 -1.642 4.985
-6.619 3.203 5.607
Tc Pm Y
9 1 2
Direct
0.072 0.589 0.750 Tc
0.411 0.411 0.250 Tc
0.928 0.411 0.250 Tc
0.661 0.661 0.017 Tc
0.589 0.589 0.750 Tc
0.589 0.072 0.750 Tc
0.339 0.339 0.983 Tc
0.411 0.928 0.250 Tc
0.500 0.500 0.500 Tc
0.000 0.000 0.000 Pm
0.143 0.143 0.570 Y
0.857 0.857 0.430 Y
```

Summary:
E: -9.275 eV/atom
calculated formation energy: -0.62 kcal/mol of atoms
calculated density: 9.126 g/cm3

Tl3CuO2: optimized geometry, PBE-GGA.

Geometry as POSCAR:
```
Tl3CuO2
1.0
-0.010 -2.004 -2.988
6.766 0.110 -0.096
0.251 -9.769 6.551
Tl O Cu
6 4 2
Direct
0.500 0.860 0.724 Tl
0.000 0.640 0.224 Tl
0.000 0.000 0.000 Tl
0.500 0.500 0.500 Tl
0.500 0.140 0.276 Tl
0.000 0.360 0.776 Tl
0.000 0.786 0.593 O
0.500 0.714 0.093 O
0.000 0.214 0.407 O
0.500 0.286 0.907 O
0.500 0.500 0.000 Cu
0.000 0.000 0.500 Cu
```

Summary:
E: -4.008 eV/atom
formation energy from raw total energies: -47 kJ/mol of atoms
calculated density: 8.215 g/cm3

RbCdSi3: optimized geometry, PBE-GGA.

Geometry as POSCAR:
```
RbCdSi3
1.0
-1.831 -0.564 -4.905
3.532 -3.805 -0.881
-3.450 -3.597 1.702
Si Cd Rb
3 1 1
Direct
0.000 0.500 0.000 Si
0.000 0.000 0.500 Si
0.500 0.000 0.000 Si
0.000 0.000 0.000 Cd
0.500 0.500 0.500 Rb
```

Summary:
E: -2.650 eV/atom
formation energy from raw total energies: 95 kJ/mol of atoms
calculated density: 3.207 g/cm3

Ca3Tb3TmTe8: optimized geometry, PBE-GGA.

Geometry as POSCAR:
```
Ca3Tb3TmTe8
1.0
8.762 0.000 0.000
-4.381 7.590 -0.027
0.000 -5.034 7.365
Ca Te Tm Tb
3 8 1 3
Direct
0.000 0.000 0.000 Ca
0.500 0.500 0.000 Ca
0.000 0.500 0.000 Ca
0.752 0.505 0.257 Te
0.749 0.497 0.746 Te
0.753 0.005 0.257 Te
0.252 0.005 0.257 Te
0.247 0.995 0.743 Te
0.251 0.503 0.254 Te
0.748 0.995 0.743 Te
0.248 0.495 0.743 Te
0.000 0.000 0.500 Tm
0.500 0.500 0.500 Tb
0.500 0.000 0.500 Tb
0.000 0.500 0.500 Tb
```

Summary:
E: -4.785 eV/atom
formation energy from raw total energies: -143 kJ/mol of atoms
calculated density: 6.073 g/cm3

P2RhCl: optimized geometry, PBE-GGA.

Geometry as POSCAR:
```
P2RhCl
1.0
3.802 -0.019 -0.043
2.389 2.957 -0.043
1.190 0.565 6.437
P Cl Rh
2 1 1
Direct
0.044 0.044 0.881 P
0.751 0.751 0.740 P
0.231 0.231 0.315 Cl
0.474 0.474 0.563 Rh
```

Summary:
E: -5.051 eV/atom
formation energy from raw total energies: -5 kJ/mol of atoms
calculated density: 4.566 g/cm3

RbHg2SbRh: optimized geometry, PBE-GGA.

Geometry as POSCAR:
```
RbHg2SbRh
1.0
5.416 0.000 0.000
0.000 5.416 0.000
0.000 0.000 5.108
Rb Sb Hg Rh
1 1 2 1
Direct
0.500 0.500 0.500 Rb
0.000 0.000 0.500 Sb
0.000 0.500 0.000 Hg
0.500 0.000 0.000 Hg
0.000 0.000 0.000 Rh
```

Summary:
E: -2.779 eV/atom
formation energy from raw total energies: -16 kJ/mol of atoms
calculated density: 7.885 g/cm3

Tb6HoMg: optimized geometry, PBE-GGA.

Geometry as POSCAR:
```
Tb6HoMg
1.0
-3.258 3.623 1.146
-5.244 -1.996 2.329
1.108 1.577 9.090
Tb Mg Ho
6 1 1
Direct
0.245 0.385 0.124 Tb
0.498 0.753 0.250 Tb
0.750 0.128 0.373 Tb
0.502 0.247 0.750 Tb
0.250 0.872 0.627 Tb
0.755 0.615 0.876 Tb
0.000 0.000 0.000 Mg
0.000 0.500 0.500 Ho
```

Summary:
E: -4.222 eV/atom
calculated formation energy: 0.51 kcal/mol of atoms
calculated density: 7.709 g/cm3

CeUSe4: optimized geometry, PBE-GGA.

Geometry as POSCAR:
```
CeUSe4
1.0
-3.452 1.530 1.919
-3.785 -0.626 -6.308
-2.381 -12.002 5.285
Ce Se U
2 8 2
Direct
0.000 0.500 0.500 Ce
0.500 0.500 0.000 Ce
0.000 0.120 0.389 Se
0.500 0.880 0.111 Se
0.500 0.120 0.889 Se
0.500 0.647 0.388 Se
0.000 0.880 0.611 Se
0.500 0.353 0.612 Se
0.000 0.353 0.112 Se
0.000 0.647 0.888 Se
0.000 0.000 0.000 U
0.500 0.000 0.500 U
```

Summary:
E: -6.548 eV/atom
formation energy from raw total energies: -131 kJ/mol of atoms
calculated density: 5.612 g/cm3

La2MnI: optimized geometry, PBE-GGA.

Geometry as POSCAR:
```
La2MnI
1.0
7.429 0.000 0.000
0.000 7.429 0.000
3.714 3.714 4.877
I Mn La
2 2 4
Direct
0.750 0.250 0.500 I
0.000 0.000 0.000 I
0.250 0.750 0.500 Mn
0.500 0.500 0.000 Mn
0.375 0.493 0.750 La
0.507 0.125 0.250 La
0.243 0.625 0.250 La
0.875 0.757 0.750 La
```

Summary:
E: -5.250 eV/atom
formation energy from raw total energies: -10 kJ/mol of atoms
calculated density: 5.671 g/cm3

Pa3Co5B2: optimized geometry, PBE-GGA.

Geometry as POSCAR:
```
Pa3Co5B2
1.0
5.711 0.000 0.000
2.856 7.234 0.371
2.856 2.277 6.876
Pa Co B
6 10 4
Direct
0.750 0.000 0.000 Pa
0.250 0.000 0.000 Pa
0.138 0.123 0.601 Pa
0.362 0.399 0.877 Pa
0.862 0.877 0.399 Pa
0.638 0.601 0.123 Pa
0.530 0.720 0.720 Co
0.750 0.500 0.500 Co
0.395 0.809 0.400 Co
0.470 0.280 0.280 Co
0.895 0.400 0.809 Co
0.030 0.720 0.720 Co
0.105 0.600 0.191 Co
0.970 0.280 0.280 Co
0.250 0.500 0.500 Co
0.605 0.191 0.600 Co
0.328 0.099 0.245 B
0.672 0.901 0.755 B
0.828 0.245 0.099 B
0.172 0.755 0.901 B
```

Summary:
E: -7.934 eV/atom
calculated formation energy: -4.54 kcal/mol of atoms
calculated density: 12.004 g/cm3

CaNdDy: optimized geometry, PBE-GGA.

Geometry as POSCAR:
```
CaNdDy
1.0
3.674 0.000 0.000
0.000 3.674 0.000
0.000 0.000 15.907
Nd Ca Dy
2 2 2
Direct
0.500 0.000 0.731 Nd
0.000 0.500 0.269 Nd
0.500 0.000 0.093 Ca
0.000 0.500 0.907 Ca
0.000 0.500 0.578 Dy
0.500 0.000 0.422 Dy
```

Summary:
E: -3.757 eV/atom
calculated formation energy: 0.77 kcal/mol of atoms
calculated density: 5.365 g/cm3

Na2Bi3Pd5: optimized geometry, PBE-GGA.

Geometry as POSCAR:
```
Na2Bi3Pd5
1.0
-0.999 6.864 4.340
1.489 -0.335 8.586
7.139 4.377 2.435
Pd Bi Na
10 6 4
Direct
0.250 0.500 0.500 Pd
0.005 0.745 0.745 Pd
0.877 0.021 0.225 Pd
0.495 0.255 0.255 Pd
0.750 0.500 0.500 Pd
0.123 0.979 0.775 Pd
0.623 0.775 0.979 Pd
0.995 0.255 0.255 Pd
0.377 0.225 0.021 Pd
0.505 0.745 0.745 Pd
0.871 0.744 0.514 Bi
0.250 0.000 0.000 Bi
0.629 0.486 0.256 Bi
0.129 0.256 0.486 Bi
0.750 0.000 0.000 Bi
0.371 0.514 0.744 Bi
0.870 0.390 0.869 Na
0.130 0.610 0.131 Na
0.630 0.131 0.610 Na
0.370 0.869 0.390 Na
```

Summary:
E: -4.250 eV/atom
calculated formation energy: -5.21 kcal/mol of atoms
calculated density: 8.463 g/cm3